# PtW2O PBE+U optimized geometry
# Density of states at the Fermi level ... 1.59 states/eV/f.u.
# Calculated total energy ... -6.04 eV per atom
# Mass density ... 12.67 g cm⁻³
data_PtW2O
_symmetry_space_group_name_H-M 'I -4 2 d'
_symmetry_Int_Tables_number 122
_symmetry_space_group_name_Hall 'I -4 2bw'
_cell_length_a 5.3066
_cell_length_b 5.3066
_cell_length_c 10.7707
_cell_angle_alpha 90.00
_cell_angle_beta 90.00
_cell_angle_gamma 90.00
loop_
_atom_site_label
_atom_site_type_symbol
_atom_site_fract_x
_atom_site_fract_y
_atom_site_fract_z
_atom_site_occupancy
Pt1 Pt 0.0000 0.0000 0.0000 1
W1 W 0.1680 0.2500 0.6250 1
O1 O 0.0000 0.0000 0.5000 1